A geometry-optimized Cs4AcPr3Se8 structure. Source: Alexandria, functional PBE.

- E_tot: -4.85 eV/atom
- ΔE_f (raw): -1.74 eV/atom
- Space-group type: R-3m, No. 166

```
16
Lattice="8.9763 0.0000 0.0000 0.0000 9.8713 0.6271 -4.4882 -4.4874 6.3479" Properties=species:S:1:pos:R:3 pbc="T T T"
Cs 4.4882 0.0000 0.0000
Cs 2.2441 -2.2437 3.1740
Cs 0.0000 0.0000 0.0000
Cs -2.2441 -2.2437 3.1740
Ac 0.0000 4.9356 0.3136
Pr 4.4882 4.9356 0.3136
Pr 2.2441 2.6919 3.4875
Pr -2.2441 2.6919 3.4875
Se -2.1873 2.5448 6.5173
Se 0.0000 4.7317 3.4233
Se 0.0000 0.6333 3.6185
Se 2.1873 2.5448 6.5173
Se 2.3009 2.8390 0.4578
Se 4.4881 4.7506 3.3566
Se 4.4882 0.6521 3.5517
Se 6.6754 2.8390 0.4578
```